VASP calculation (PBE-GGA) on an optimized crystal structure of CsPa4Pd3Se12.

Cell lengths 8.9364, 8.9364, 8.9364 Å; angles 109.47, 109.47, 109.47 degrees
Last column: nearest neighbours and their distance in Å.
Fractional positions:
Cs: 0.0000 0.0000 0.0000  12 Se 3.72
Pa: 0.0000 0.0000 0.5000  6 Se 2.80
Pa: 0.0000 0.5000 0.0000  6 Se 2.80
Pa: 0.5000 0.0000 0.0000  6 Se 2.80
Pa: 0.5000 0.5000 0.5000  6 Se 2.80
Pd: 0.0000 0.5000 0.5000  4 Se 2.55
Pd: 0.5000 0.0000 0.5000  4 Se 2.55
Pd: 0.5000 0.5000 0.0000  4 Se 2.55
Se: 0.1502 0.8317 0.3185  1 Pd 2.55, 2 Pa 2.80
Se: 0.1683 0.3185 0.4868  1 Pd 2.55, 2 Pa 2.80
Se: 0.1683 0.6815 0.8498  1 Pd 2.55, 2 Pa 2.80
Se: 0.3185 0.1502 0.8317  1 Pd 2.55, 2 Pa 2.80
Se: 0.3185 0.4868 0.1683  1 Pd 2.55, 2 Pa 2.80
Se: 0.4868 0.1683 0.3185  1 Pd 2.55, 2 Pa 2.80
Se: 0.5132 0.8317 0.6815  1 Pd 2.55, 2 Pa 2.80
Se: 0.6815 0.5132 0.8317  1 Pd 2.55, 2 Pa 2.80
Se: 0.6815 0.8498 0.1683  1 Pd 2.55, 2 Pa 2.80
Se: 0.8317 0.3185 0.1502  1 Pd 2.55, 2 Pa 2.80
Se: 0.8317 0.6815 0.5132  1 Pd 2.55, 2 Pa 2.80
Se: 0.8498 0.1683 0.6815  1 Pd 2.55, 2 Pa 2.80

Output
Formation energy from raw total energies ... -0.95 eV per atom
Space-group type ... Im-3, No. 204
Density ... 7.0 g/cm³
Magnetization ... 0.0284 μB/atom


VASP calculation (PBE-GGA) on an optimized crystal structure of Mn2CoBi.

Cell lengths 9.2806, 9.2806, 9.2806 Å; angles 156.55, 156.55, 33.40 degrees
Last column: nearest neighbours and their distance in Å.
Fractional positions:
Mn: 0.0263 0.6250 0.9013  2 Mn 2.20
Mn: 0.3750 0.2763 0.4013  2 Mn 2.20
Mn: 0.7237 0.1250 0.0987  2 Mn 2.20
Mn: 0.8750 0.9737 0.5987  2 Mn 2.20
Co: 0.0000 0.0000 0.0000  4 Mn 2.48, 4 Bi 2.67
Co: 0.7500 0.2500 0.5000  4 Mn 2.48, 4 Bi 2.67
Bi: 0.2500 0.7500 0.5000  4 Co 2.67, 4 Mn 2.75
Bi: 0.5000 0.5000 0.0000  4 Co 2.67, 4 Mn 2.75

Output
Space-group type ... I-42d, No. 122
Energy of formation from the pure elements ... 819 meV/atom
Density ... 9.9 g/cm³
Magnetization ... 0.5078 μB/atom


VASP calculation (PBE-GGA) on an optimized crystal structure of Rb3Sm3MnSe8.

Cell lengths 9.4907, 9.4907, 9.4907 Å; angles 52.26, 52.26, 52.26 degrees
Last column: nearest neighbours and their distance in Å.
Fractional positions:
Rb: 0.0000 0.5000 0.5000  6 Se 3.44-3.47
Rb: 0.5000 0.0000 0.5000  6 Se 3.44-3.47
Rb: 0.5000 0.5000 0.0000  6 Se 3.44-3.47
Sm: 0.0000 0.0000 0.5000  6 Se 2.92-2.95
Sm: 0.0000 0.5000 0.0000  6 Se 2.92-2.95
Sm: 0.5000 0.0000 0.0000  6 Se 2.92-2.95
Mn: 0.5000 0.5000 0.5000  6 Se 2.60
Se: 0.2336 0.2336 0.2336  3 Sm 2.92
Se: 0.2640 0.7084 0.7084  1 Mn 2.60
Se: 0.2916 0.2916 0.7360  1 Mn 2.60
Se: 0.2916 0.7360 0.2916  1 Mn 2.60
Se: 0.7084 0.2640 0.7084  1 Mn 2.60
Se: 0.7084 0.7084 0.2640  1 Mn 2.60
Se: 0.7360 0.2916 0.2916  1 Mn 2.60
Se: 0.7664 0.7664 0.7664  3 Sm 2.92

Output
Formation energy from raw total energies ... -1.40 eV per atom
Space-group type ... R-3m, No. 166
Density ... 4.7 g/cm³
Magnetization ... 0.1992 μB/atom


- What is the density in the first record?
  7.0 g/cm³


- Number 3 is which compound?
  Rb3Sm3MnSe8


What did the third record say?
VASP calculation (PBE-GGA) on an optimized crystal structure of Rb3Sm3MnSe8.

Cell lengths 9.4907, 9.4907, 9.4907 Å; angles 52.26, 52.26, 52.26 degrees
Last column: nearest neighbours and their distance in Å.
Fractional positions:
Rb: 0.0000 0.5000 0.5000  6 Se 3.44-3.47
Rb: 0.5000 0.0000 0.5000  6 Se 3.44-3.47
Rb: 0.5000 0.5000 0.0000  6 Se 3.44-3.47
Sm: 0.0000 0.0000 0.5000  6 Se 2.92-2.95
Sm: 0.0000 0.5000 0.0000  6 Se 2.92-2.95
Sm: 0.5000 0.0000 0.0000  6 Se 2.92-2.95
Mn: 0.5000 0.5000 0.5000  6 Se 2.60
Se: 0.2336 0.2336 0.2336  3 Sm 2.92
Se: 0.2640 0.7084 0.7084  1 Mn 2.60
Se: 0.2916 0.2916 0.7360  1 Mn 2.60
Se: 0.2916 0.7360 0.2916  1 Mn 2.60
Se: 0.7084 0.2640 0.7084  1 Mn 2.60
Se: 0.7084 0.7084 0.2640  1 Mn 2.60
Se: 0.7360 0.2916 0.2916  1 Mn 2.60
Se: 0.7664 0.7664 0.7664  3 Sm 2.92

Output
Formation energy from raw total energies ... -1.40 eV per atom
Space-group type ... R-3m, No. 166
Density ... 4.7 g/cm³
Magnetization ... 0.1992 μB/atom


- What is the formula in the first record?
  CsPa4Pd3Se12